This record from the Alexandria database describes crystalline Nb3Te at its relaxed geometry. The functional is PBE.

Computed properties:
magnetic moment	0.000	μB/f.u.
energy above the lowest structure with this stoichiometry	0.00	kJ/mol of atoms
ρ	9.10	g cm⁻³
ΔE_f (raw)	-182	meV/atom

Cell lengths 5.2938, 5.2938, 5.2938 Å; angles 90.00, 90.00, 90.00 degrees
Fractional coordinates of all 8 atoms:
Nb (0.5000, 0.7500, 0.0000)
Nb (0.0000, 0.5000, 0.7500)
Nb (0.5000, 0.2500, 0.0000)
Nb (0.0000, 0.5000, 0.2500)
Nb (0.2500, 0.0000, 0.5000)
Nb (0.7500, 0.0000, 0.5000)
Te (0.5000, 0.5000, 0.5000)
Te (0.0000, 0.0000, 0.0000)